# TbPr3S4 | the Alexandria database | PBE-GGA | relaxed
# total moment = 0.0 μB/f.u.
# V = 23.7 Å³/atom
# E_tot = -6.447 eV per atom
data_TbPr3S4
_space_group_name_H-M_alt 'C m m m'
_space_group_IT_number 65
_space_group_name_Hall '-C 2 2'
_cell_length_a 8.213
_cell_length_b 11.499
_cell_length_c 4.018
_cell_angle_alpha 90.00
_cell_angle_beta 90.00
_cell_angle_gamma 90.00
loop_
_atom_site_label
_atom_site_fract_x
_atom_site_fract_y
_atom_site_fract_z
_atom_site_occupancy
Tb1 0.000 0.000 0.000 1
Pr1 0.000 0.500 0.000 1
Pr2 0.250 0.250 0.500 1
S1 0.000 0.244 0.000 1
S2 0.238 0.000 0.500 1